1.
## Ac2SmGa4Pt3 (PBE)

Data for a geometry-optimized Ac2SmGa4Pt3 structure.

a = 4.399 Å, b = 4.399 Å, c = 11.750 Å
α = 90.00°, β = 90.00°, γ = 90.00°
Atoms (fractional coordinates):
Pt 0.000 0.500 0.119
Ac 0.000 0.500 0.774
Pt 0.000 0.000 0.500
Ga 0.500 0.000 0.666
Sm 0.500 0.500 0.500
Ac 0.500 0.000 0.226
Ga 0.000 0.000 0.000
Pt 0.500 0.000 0.881
Ga 0.500 0.500 0.000
Ga 0.000 0.500 0.334

ΔH_f (0 K) = -0.852 eV per atom

2.
## AlPtO2 (PBE)

Data for a geometry-optimized AlPtO2 structure.

a = 6.358 Å, b = 4.499 Å, c = 4.499 Å
α = 144.47°, β = 134.88°, γ = 45.12°
Atoms (fractional coordinates):
O 0.812 0.500 0.500
Pt 0.500 0.500 0.500
Al 0.000 0.000 0.000
O 0.188 0.500 0.500

Formation energy (no corrections) = -6.24 eV per formula unit